1.
Density functional theory data (PBE-GGA) for a relaxed Ce2PmYP4 crystal.

The structure belongs to space group P2/m (No. 10); the cell edges are 7.059, 4.082 and 7.070 Å and the angles 90.00°, 109.49° and 90.00°. Symmetry generates all atoms from Ce at (0.000, 0.000, 0.000), Ce at (0.000, 0.500, 0.500), Pm at (0.500, 0.000, 0.500), Y at (0.500, 0.500, 0.000), P at (0.247, 0.500, 0.246) and P at (0.250, 0.000, 0.753).

For the energy relative to the elements, the calculation gives -12.4 eV per formula unit. As for the total energy: -57.13 eV for the cell shown.



2.
Density functional theory data (PBE-GGA) for a relaxed TbNdY4S8 crystal.

The structure belongs to space group R3m (No. 160, hexagonal axes); the cell edges are 8.1128, 8.1128 and 19.8908 Å and the angles 90.00°, 90.00° and 120.00°. Symmetry generates all atoms from Tb at (0.0000, 0.0000, 0.0000), Nd at (0.0000, 0.0000, 0.6245), Y at (0.0000, 0.0000, 0.3744), Y at (0.1678, 0.3355, 0.8324), S at (0.0000, 0.0000, 0.2422), S at (0.0000, 0.0000, 0.7604), S at (0.0188, 0.5094, 0.7519) and S at (0.1809, 0.3617, 0.5788).

As for the total energy: -286.15 eV for the cell shown. Its uncorrected formation energy is -1936 meV per atom.



3.
Density functional theory data (PBE-GGA) for a relaxed Na4ScPt3O8 crystal.

The structure belongs to space group C2/m (No. 12); the cell edges are 12.277, 6.117 and 6.192 Å and the angles 90.00°, 116.09° and 90.00°. Symmetry generates all atoms from Na at (0.000, 0.000, 0.000), Na at (0.000, 0.500, 0.000), Na at (0.250, 0.250, 0.500), Sc at (0.000, 0.000, 0.500), Pt at (0.000, 0.500, 0.500), Pt at (0.250, 0.250, 0.000), O at (0.041, 0.253, 0.321), O at (0.183, 0.500, 0.750) and O at (0.198, 0.000, 0.768).

As for the total energy: -182.32 eV for the cell shown. Its uncorrected formation energy is -1360 meV per atom.